Record 1
Computed, not measured: a relaxed structure of Ta2AsS at the PBE level of DFT.

Computed properties:
The space group is I-42d. Its energy above the most stable polymorph in this dataset is 439 meV/atom. For the total magnetization, the calculation gives 0.000 μB/atom. The volume is 166 Å³ per cell.

Lattice parameters (Å, degrees): 8.1384 8.1384 8.1384 146.26 146.26 48.47
Closest atoms and distances in Å follow each position.
Fractional coordinates of all 8 atoms:
Ta (0.0798, 0.6250, 0.9548)  2 S 2.40, 2 As 2.60
Ta (0.3750, 0.3298, 0.4548)  2 S 2.40, 2 As 2.60
Ta (0.6702, 0.1250, 0.0452)  2 S 2.40, 2 As 2.60
Ta (0.8750, 0.9202, 0.5452)  2 S 2.40, 2 As 2.60
As (0.2500, 0.7500, 0.5000)  4 Ta 2.60
As (0.5000, 0.5000, 0.0000)  4 Ta 2.60
S (0.0000, 0.0000, 0.0000)  4 Ta 2.40
S (0.7500, 0.2500, 0.5000)  4 Ta 2.40

Record 2
Computed, not measured: a relaxed structure of TaAsS3 at the PBE level of DFT.

Computed properties:
The space group is Pm-3m. Its energy above the most stable polymorph in this dataset is 0 meV/atom. For the total magnetization, the calculation gives 0.367 μB/atom. The volume is 110 Å³ per cell.

Lattice parameters (Å, degrees): 4.7940 4.7940 4.7940 90.00 90.00 90.00
Closest atoms and distances in Å follow each position.
Fractional coordinates of all 5 atoms:
Ta (0.0000, 0.0000, 0.0000)  6 S 2.40
As (0.5000, 0.5000, 0.5000)  12 S 3.39
S (0.0000, 0.0000, 0.5000)  2 Ta 2.40
S (0.0000, 0.5000, 0.0000)  2 Ta 2.40
S (0.5000, 0.0000, 0.0000)  2 Ta 2.40

Record 3
Computed, not measured: a relaxed structure of Tb8As6S at the PBE level of DFT.

Computed properties:
The space group is P-3. For the total magnetization, the calculation gives 0.000 μB/atom. The total energy is -5.74 eV per atom. The volume is 398 Å³ per cell.

Lattice parameters (Å, degrees): 10.2940 10.2940 4.3408 90.00 90.00 120.00
Closest atoms and distances in Å follow each position.
Fractional coordinates of all 15 atoms:
Tb (0.0307, 0.7020, 0.2356)  4 As 2.77-2.98
Tb (0.2980, 0.3287, 0.2356)  4 As 2.77-2.98
Tb (0.3287, 0.0307, 0.7644)  4 As 2.77-2.98
Tb (0.3333, 0.6667, 0.7568)  6 As 2.96-2.99
Tb (0.6667, 0.3333, 0.2432)  6 As 2.96-2.99
Tb (0.6713, 0.9693, 0.2356)  4 As 2.77-2.98
Tb (0.7020, 0.6713, 0.7644)  4 As 2.77-2.98
Tb (0.9693, 0.2980, 0.7644)  4 As 2.77-2.98
As (0.1297, 0.4748, 0.2611)  6 Tb 2.77-2.99
As (0.3451, 0.8703, 0.2611)  6 Tb 2.77-2.99
As (0.4748, 0.3451, 0.7389)  6 Tb 2.77-2.99
As (0.5252, 0.6549, 0.2611)  6 Tb 2.77-2.99
As (0.6549, 0.1297, 0.7389)  6 Tb 2.77-2.99
As (0.8703, 0.5252, 0.7389)  6 Tb 2.77-2.99
S (0.0000, 0.0000, 0.0000)  6 Tb 3.40

Record 4
Computed, not measured: a relaxed structure of Tb5AsS5 at the PBE level of DFT.

Computed properties:
The space group is C2/m. For the total magnetization, the calculation gives 0.000 μB/atom. The total energy is -6.39 eV per atom. The volume is 265 Å³ per cell.

Lattice parameters (Å, degrees): 6.8673 6.8673 7.9489 106.79 106.79 48.22
Closest atoms and distances in Å follow each position.
Fractional coordinates of all 11 atoms:
Tb (0.0000, 0.0000, 0.0000)  2 As 2.81, 4 S 2.81-2.82
Tb (0.3336, 0.3336, 0.6610)  5 S 2.77-2.83, 1 As 2.84
Tb (0.3379, 0.3379, 0.1764)  5 S 2.73-2.82, 1 As 2.81
Tb (0.6620, 0.6620, 0.8236)  5 S 2.73-2.82, 1 As 2.81
Tb (0.6664, 0.6664, 0.3390)  5 S 2.77-2.83, 1 As 2.84
As (0.5000, 0.5000, 0.0000)  6 Tb 2.81-2.84
S (0.1682, 0.1682, 0.3321)  5 Tb 2.78-2.81
S (0.1719, 0.1719, 0.8407)  5 Tb 2.81-2.83
S (0.5000, 0.5000, 0.5000)  4 Tb 2.73-2.77
S (0.8281, 0.8281, 0.1593)  5 Tb 2.81-2.83
S (0.8318, 0.8318, 0.6679)  5 Tb 2.78-2.81